# 1
# NaTlIn3

A relaxed structure of NaTlIn3 (PBE, Alexandria via LeMat-Bulk).

```
5
Lattice="5.8331 0.0000 0.0000 0.0000 5.8331 0.0000 0.0000 0.0000 5.8331" Properties=species:S:1:pos:R:3 pbc="T T T"
Na 0.0000 0.0000 0.0000
Tl 2.9166 2.9166 2.9166
In 0.0000 2.9166 2.9166
In 2.9166 0.0000 2.9166
In 2.9166 2.9166 0.0000
```

## Properties
E above lowest polymorph: 0.374 eV/atom
Formation enthalpy at 0 K: 32.0 kJ/mol of atoms
SG: No. 221
D(E_F): 3.67 states/eV/cell


# 2
# PrInHgPd

A relaxed structure of PrInHgPd (PBE, Alexandria via LeMat-Bulk).

```
4
Lattice="0.0000 3.5894 3.5894 3.5894 0.0000 3.5894 3.5894 3.5894 0.0000" Properties=species:S:1:pos:R:3 pbc="T T T"
Pr 0.0000 0.0000 0.0000
In 3.5894 3.5894 3.5894
Hg 5.3841 5.3841 5.3841
Pd 1.7947 1.7947 1.7947
```

## Properties
Formation enthalpy at 0 K: -52.7 kJ/mol of atoms
SG: No. 216
D(E_F): 2.06 states/eV/cell


# 3
# CeMg3Cu8

A relaxed structure of CeMg3Cu8 (PBE, Alexandria via LeMat-Bulk).

```
12
Lattice="2.5281 1.4596 8.2966 -2.5281 1.4596 8.2966 0.0000 -2.9192 8.2966" Properties=species:S:1:pos:R:3 pbc="T T T"
Ce 0.0000 0.0000 0.0000
Mg 0.0000 0.0000 3.1894
Mg 0.0000 0.0000 12.3380
Mg 0.0000 0.0000 15.3231
Cu 0.0000 -1.4510 5.6335
Cu -1.2566 0.7255 5.6335
Cu -1.2647 -0.7302 9.8778
Cu 0.0000 0.0000 7.7203
Cu 1.2566 0.7255 5.6335
Cu 1.2647 -0.7302 9.8778
Cu 0.0000 1.4604 9.8778
Cu 0.0000 0.0000 20.1983
```

## Properties
Formation enthalpy at 0 K: -13.4 kJ/mol of atoms
SG: No. 160
D(E_F): 9.17 states/eV/cell


# 4
# Ge2TeRuRh

A relaxed structure of Ge2TeRuRh (PBE, Alexandria via LeMat-Bulk).

```
5
Lattice="5.2028 0.0000 0.0000 0.0000 5.2028 0.0000 0.0000 0.0000 4.7923" Properties=species:S:1:pos:R:3 pbc="T T T"
Ge 0.0000 2.6014 0.0000
Ge 2.6014 0.0000 0.0000
Te 0.0000 0.0000 0.0000
Ru 0.0000 0.0000 2.3961
Rh 2.6014 2.6014 2.3961
```

## Properties
Total energy: -4.176 eV/atom
SG: No. 123
D(E_F): 6.76 states/eV/cell


no.,magnetization (μB per formula unit)
1,0.0
2,0.0
3,0.5
4,1.2